This record from the Alexandria database describes Be2CuW after structural relaxation. The functional is GGA-PBE.

Properties
- Space group: R-3m (166)
- Energy of formation from the pure elements: 285.3 meV per atom

Cell lengths 7.9841, 7.9841, 7.9841 Å; angles 19.24, 19.24, 19.24 degrees
Atoms (fractional coordinates):
1 Be 0.5048 0.5048 0.5048
2 Be 0.9952 0.9952 0.9952
3 W 0.7500 0.7500 0.7500
4 Cu 0.2500 0.2500 0.2500

---

This record from the Alexandria database describes TmHfAgOs after structural relaxation. The functional is GGA-PBE.

Properties
- Space group: F-43m (216)
- Energy of formation from the pure elements: -288.4 meV per atom

Cell lengths 4.7884, 4.7884, 4.7884 Å; angles 60.00, 60.00, 60.00 degrees
Atoms (fractional coordinates):
1 Ag 0.7500 0.7500 0.7500
2 Hf 0.5000 0.5000 0.5000
3 Os 0.2500 0.2500 0.2500
4 Tm 0.0000 0.0000 0.0000

---

This record from the Alexandria database describes Zn2FeRu2 after structural relaxation. The functional is GGA-PBE.

Properties
- Space group: P4/mbm (127)
- Energy of formation from the pure elements: 301.5 meV per atom

Cell lengths 6.3569, 6.3569, 3.7360 Å; angles 90.00, 90.00, 90.00 degrees
Atoms (fractional coordinates):
1 Fe 0.5000 0.5000 0.0000
2 Ru 0.8638 0.6362 0.0000
3 Ru 0.6362 0.1362 0.0000
4 Ru 0.1362 0.3638 0.0000
5 Fe 0.0000 0.0000 0.0000
6 Zn 0.3331 0.1669 0.5000
7 Zn 0.8331 0.3331 0.5000
8 Zn 0.6669 0.8331 0.5000
9 Zn 0.1669 0.6669 0.5000
10 Ru 0.3638 0.8638 0.0000

---

This record from the Alexandria database describes Pr5Ho5Tm after structural relaxation. The functional is GGA-PBE.

Properties
- Space group: C2/m (12)
- Energy of formation from the pure elements: 261.0 meV per atom

Cell lengths 6.0147, 9.9628, 7.0681 Å; angles 110.62, 90.00, 107.57 degrees
Atoms (fractional coordinates):
1 Ho 0.0000 0.0000 0.5000
2 Pr 0.5000 0.0000 0.0000
3 Pr 0.8249 0.6498 0.5801
4 Ho 0.3314 0.6628 0.8302
5 Pr 0.1751 0.3502 0.4199
6 Ho 0.3787 0.7574 0.3771
7 Ho 0.6686 0.3372 0.1698
8 Pr 0.8248 0.6496 0.0686
9 Pr 0.1752 0.3504 0.9314
10 Tm 0.0000 0.0000 0.0000
11 Ho 0.6213 0.2426 0.6229

---

This record from the Alexandria database describes Ce3HRh2 after structural relaxation. The functional is GGA-PBE.

Properties
- Space group: C2/m (12)
- DFT total energy: -6.511 eV/atom

Cell lengths 6.9154, 6.9195, 6.7191 Å; angles 80.16, 70.01, 60.02 degrees
Atoms (fractional coordinates):
1 Ce 0.0809 0.3388 0.7579
2 Rh 0.1704 0.6592 0.5000
3 Rh 0.8296 0.3408 0.5000
4 H 0.6657 0.6686 0.0000
5 Ce 0.4197 0.6612 0.7579
6 Ce 0.5803 0.3388 0.2421
7 Rh 0.5000 0.0000 0.5000
8 Rh 0.0000 0.0000 0.0000
9 Ce 0.9191 0.6612 0.2421
10 Ce 0.2568 0.0000 0.2460
11 H 0.3343 0.3314 0.0000
12 Ce 0.7432 0.0000 0.7540

---

This record from the Alexandria database describes Nd8HIr3I3 after structural relaxation. The functional is GGA-PBE.

Properties
- Space group: C2/m (12)
- DFT total energy: -5.574 eV/atom

Cell lengths 8.3342, 8.3291, 9.3043 Å; angles 116.56, 90.01, 120.01 degrees
Atoms (fractional coordinates):
1 Nd 0.2308 0.9566 0.6876
2 Nd 0.7701 0.5402 0.3132
3 Nd 0.7295 0.4589 0.6884
4 Ir 0.5000 0.0000 0.5000
5 Nd 0.2299 0.4598 0.6868
6 Nd 0.2743 0.0434 0.3125
7 I 0.0000 0.0000 0.0000
8 Ir 0.0000 0.5000 0.5000
9 Nd 0.7257 0.9566 0.6875
10 I 0.0000 0.5000 0.0000
11 Ir 0.5000 0.5000 0.5000
12 Nd 0.2705 0.5411 0.3116
13 Nd 0.7692 0.0434 0.3124
14 I 0.5000 0.5000 0.0000
15 H 0.0000 0.0000 0.5000

---

This record from the Alexandria database describes LiMnFe2 after structural relaxation. The functional is GGA-PBE.

Properties
- Space group: C2/m (12)
- Energy of formation from the pure elements: 246.3 meV per atom

Cell lengths 4.6412, 4.6412, 2.3682 Å; angles 83.23, 83.23, 115.83 degrees
Atoms (fractional coordinates):
1 Mn 0.0000 0.5000 0.5000
2 Fe 0.5000 0.5000 0.0000
3 Li 0.5000 0.0000 0.5000
4 Fe 0.0000 0.0000 0.0000

---

This record from the Alexandria database describes Ce2Ni4Ge3Au after structural relaxation. The functional is GGA-PBE.

Properties
- Space group: P-4m2 (115)
- Energy of formation from the pure elements: -587.2 meV per atom

Cell lengths 4.1191, 4.1191, 10.0327 Å; angles 90.00, 90.00, 90.00 degrees
Atoms (fractional coordinates):
1 Ce 0.5000 0.0000 0.2443
2 Ni 0.5000 0.0000 0.6469
3 Ni 0.5000 0.5000 0.0000
4 Ge 0.0000 0.5000 0.1213
5 Ge 0.5000 0.0000 0.8787
6 Ni 0.0000 0.0000 0.0000
7 Ce 0.0000 0.5000 0.7557
8 Ni 0.0000 0.5000 0.3531
9 Ge 0.0000 0.0000 0.5000
10 Au 0.5000 0.5000 0.5000

---

This record from the Alexandria database describes CeGdGaOs after structural relaxation. The functional is GGA-PBE.

Properties
- Space group: F-43m (216)
- Energy of formation from the pure elements: -277.5 meV per atom

Cell lengths 4.9913, 4.9913, 4.9913 Å; angles 60.00, 60.00, 60.00 degrees
Atoms (fractional coordinates):
1 Gd 0.0000 0.0000 0.0000
2 Ga 0.2500 0.2500 0.2500
3 Ce 0.5000 0.5000 0.5000
4 Os 0.7500 0.7500 0.7500

---

This record from the Alexandria database describes LaNiSe after structural relaxation. The functional is GGA-PBE.

Properties
- Space group: F-43m (216)
- Formation energy (no corrections): -10.60 kcal/mol of atoms

Cell lengths 4.8537, 4.8537, 4.8537 Å; angles 60.00, 60.00, 60.00 degrees
Atoms (fractional coordinates):
1 Ni 0.0000 0.0000 0.0000
2 La 0.7500 0.7500 0.7500
3 Se 0.5000 0.5000 0.5000

---

This record from the Alexandria database describes BaTi2O5 after structural relaxation. The functional is GGA-PBE.

Properties
- Space group: Pnma (62)
- Formation energy (no corrections): -71.36 kcal/mol of atoms

Cell lengths 3.9387, 10.5886, 11.0058 Å; angles 90.00, 90.00, 90.00 degrees
Atoms (fractional coordinates):
1 Ti 0.7500 0.3501 0.0930
2 Ba 0.7500 0.9487 0.8204
3 Ti 0.7500 0.7378 0.1019
4 O 0.2500 0.5988 0.5757
5 O 0.2500 0.9956 0.6498
6 Ba 0.7500 0.4487 0.6796
7 Ti 0.2500 0.1499 0.5930
8 O 0.7500 0.7330 0.2785
9 O 0.7500 0.3001 0.9166
10 O 0.7500 0.0044 0.3502
11 O 0.7500 0.9012 0.0757
12 Ti 0.2500 0.2622 0.8981
13 O 0.2500 0.7670 0.7785
14 O 0.7500 0.8001 0.5834
15 Ti 0.2500 0.7622 0.6019
16 O 0.7500 0.4012 0.4243
17 O 0.2500 0.6999 0.0834
18 Ba 0.2500 0.5513 0.3204
19 O 0.7500 0.6781 0.9306
20 O 0.2500 0.1999 0.4166
21 Ba 0.2500 0.0513 0.1796
22 O 0.2500 0.4956 0.8502
23 Ti 0.7500 0.8501 0.4070
24 O 0.2500 0.0988 0.9243
25 Ti 0.2500 0.6499 0.9070
26 O 0.2500 0.8219 0.4306
27 O 0.7500 0.5044 0.1498
28 O 0.2500 0.3219 0.0694
29 O 0.7500 0.2330 0.2215
30 Ti 0.7500 0.2378 0.3981
31 O 0.2500 0.2670 0.7215
32 O 0.7500 0.1781 0.5694

---

This record from the Alexandria database describes BaAgTeO6 after structural relaxation. The functional is GGA-PBE.

Properties
- Space group: C2 (5)
- Formation energy (no corrections): -25.52 kcal/mol of atoms

Cell lengths 5.5274, 5.4216, 5.7933 Å; angles 89.48, 88.98, 59.35 degrees
Atoms (fractional coordinates):
1 O 0.0207 0.3680 0.3152
2 O 0.0381 0.5999 0.7102
3 O 0.3620 0.5998 0.2897
4 Te 0.3301 0.3398 0.5000
5 Ag 0.6637 0.6725 0.5000
6 Ba 0.9932 0.0136 0.0000
7 O 0.6077 0.0192 0.3061
8 O 0.6112 0.3680 0.6848
9 O 0.3731 0.0192 0.6939